The following is a DFT calculation (PBE) of a relaxed structure of Ac4B3SbRh12.

a = 7.766 Å, b = 7.766 Å, c = 7.766 Å
α = 109.47°, β = 109.47°, γ = 109.47°
Element x y z (fractional)
1 Ac 0.000 0.000 0.500
2 Ac 0.000 0.500 0.000
3 Ac 0.500 0.000 0.000
4 Ac 0.500 0.500 0.500
5 B 0.000 0.500 0.500
6 B 0.500 0.000 0.500
7 B 0.500 0.500 0.000
8 Sb 0.000 0.000 0.000
9 Rh 0.000 0.280 0.280
10 Rh 0.000 0.720 0.720
11 Rh 0.250 0.500 0.750
12 Rh 0.250 0.750 0.500
13 Rh 0.280 0.000 0.280
14 Rh 0.280 0.280 0.000
15 Rh 0.500 0.250 0.750
16 Rh 0.500 0.750 0.250
17 Rh 0.720 0.000 0.720
18 Rh 0.720 0.720 0.000
19 Rh 0.750 0.250 0.500
20 Rh 0.750 0.500 0.250

Properties
Crystal system = cubic
SG = No. 229
Size of the total moment = 0.0 μB per cell
Formation energy (no corrections) = -557 meV per atom
ρ = 10.577 g/cm3